Computed, not measured: a geometry-optimized KPd structure at the PBE-GGA level of DFT.

Unit cell a=5.396 b=5.396 c=6.276 alpha=90.00 beta=90.00 gamma=120.00
Atoms (fractional coordinates):
K 0.333 0.667 0.250
K 0.667 0.333 0.750
Pd 0.333 0.667 0.750
Pd 0.667 0.333 0.250

* crystal system: hexagonal
* space-group type: No. 194
* formation energy from the elements: 133 kJ/mol of formula units
* energy relative to the lowest polymorph listed for this composition: 0.585 eV per atom

***

Computed, not measured: a geometry-optimized KPd structure at the PBE-GGA level of DFT.

Unit cell a=3.135 b=3.135 c=4.905 alpha=90.00 beta=90.00 gamma=90.00
Atoms (fractional coordinates):
K 0.000 0.000 0.000
Pd 0.500 0.500 0.500

* crystal system: tetragonal
* space-group type: No. 123
* formation energy from the elements: 47 kJ/mol of formula units
* energy relative to the lowest polymorph listed for this composition: 0.143 eV per atom

***

Computed, not measured: a geometry-optimized KPd structure at the PBE-GGA level of DFT.

Unit cell a=8.407 b=8.407 c=8.407 alpha=93.09 beta=93.09 gamma=153.13
Atoms (fractional coordinates):
K 0.118 0.206 0.324
K 0.206 0.882 0.088
K 0.794 0.118 0.912
K 0.882 0.794 0.676
Pd 0.076 0.591 0.667
Pd 0.409 0.076 0.484
Pd 0.591 0.924 0.516
Pd 0.924 0.409 0.333

* crystal system: tetragonal
* space-group type: No. 87
* formation energy from the elements: 35 kJ/mol of formula units
* energy relative to the lowest polymorph listed for this composition: 0.079 eV per atom